Arrangement P

First-principles (PBE-GGA) data for a relaxed structure of Pr4Er7Th, as listed in Alexandria. Values from VASP.

## Properties
D(E_F) = 15.66 states/eV/cell

The structure in Quantum ESPRESSO input format:
```
&SYSTEM
  ibrav = 0, nat = 12, ntyp = 3
/
ATOMIC_SPECIES
Pr 140.91 Pr.upf
Er 167.26 Er.upf
Th 232.04 Th.upf
CELL_PARAMETERS angstrom
7.138 0.000 0.000
3.569 7.158 0.000
1.700 1.766 7.624
ATOMIC_POSITIONS crystal
Pr 0.088 0.168 0.329
Pr 0.337 0.668 0.330
Pr 0.663 0.332 0.670
Pr 0.912 0.832 0.671
Er 0.000 0.000 0.000
Er 0.170 0.327 0.672
Er 0.252 0.496 0.999
Er 0.418 0.837 0.672
Er 0.582 0.163 0.328
Er 0.748 0.504 0.001
Er 0.830 0.673 0.328
Th 0.500 0.000 0.000
```



Arrangement Q

First-principles (PBE-GGA) data for a relaxed structure of Pr4Er7Th, as listed in Alexandria. Values from VASP.

## Properties
D(E_F) = 18.17 states/eV/cell

The structure in Quantum ESPRESSO input format:
```
&SYSTEM
  ibrav = 0, nat = 12, ntyp = 3
/
ATOMIC_SPECIES
Pr 140.91 Pr.upf
Er 167.26 Er.upf
Th 232.04 Th.upf
CELL_PARAMETERS angstrom
6.093 -2.980 0.000
6.093 2.980 0.000
-6.051 0.000 11.290
ATOMIC_POSITIONS crystal
Pr 0.059 0.059 0.335
Pr 0.361 0.361 0.222
Pr 0.639 0.639 0.778
Pr 0.941 0.941 0.665
Er 0.000 0.000 0.000
Er 0.210 0.210 0.924
Er 0.254 0.254 0.686
Er 0.363 0.363 0.495
Er 0.637 0.637 0.505
Er 0.746 0.746 0.314
Er 0.790 0.790 0.076
Th 0.500 0.500 0.000
```



The data favor arrangement P; the next most stable structure lies 265 meV/atom above it.



Arrangement P

First-principles (PBE-GGA) data for a relaxed structure of Pr4ErTh, as listed in Alexandria. Values from VASP.

## Properties
D(E_F) = 11.00 states/eV/cell

The structure in Quantum ESPRESSO input format:
```
&SYSTEM
  ibrav = 0, nat = 6, ntyp = 3
/
ATOMIC_SPECIES
Pr 140.91 Pr.upf
Er 167.26 Er.upf
Th 232.04 Th.upf
CELL_PARAMETERS angstrom
5.878 -1.745 0.000
5.878 1.745 0.000
-5.673 0.000 10.290
ATOMIC_POSITIONS crystal
Pr 0.152 0.152 0.342
Pr 0.339 0.339 0.157
Pr 0.661 0.661 0.843
Pr 0.848 0.848 0.658
Er 0.000 0.000 0.000
Th 0.500 0.500 0.500
```



Arrangement Q

First-principles (PBE-GGA) data for a relaxed structure of Pr4ErTh, as listed in Alexandria. Values from VASP.

## Properties
D(E_F) = 10.28 states/eV/cell

The structure in Quantum ESPRESSO input format:
```
&SYSTEM
  ibrav = 0, nat = 6, ntyp = 3
/
ATOMIC_SPECIES
Pr 140.91 Pr.upf
Er 167.26 Er.upf
Th 232.04 Th.upf
CELL_PARAMETERS angstrom
3.666 0.000 0.000
0.000 5.166 0.000
-0.042 0.000 10.967
ATOMIC_POSITIONS crystal
Pr 0.001 0.000 0.335
Pr 0.499 0.500 0.162
Pr 0.501 0.500 0.838
Pr 0.999 0.000 0.665
Er 0.500 0.500 0.500
Th 0.000 0.000 0.000
```



The data favor arrangement Q; the next most stable structure lies 155 meV/atom above it.



Arrangement P

First-principles (PBE-GGA) data for a relaxed structure of Pr3Er2Th, as listed in Alexandria. Values from VASP.

## Properties
D(E_F) = 20.53 states/eV/cell

The structure in Quantum ESPRESSO input format:
```
&SYSTEM
  ibrav = 0, nat = 12, ntyp = 3
/
ATOMIC_SPECIES
Pr 140.91 Pr.upf
Er 167.26 Er.upf
Th 232.04 Th.upf
CELL_PARAMETERS angstrom
4.773 -6.615 0.000
4.773 6.615 0.000
0.000 0.000 6.568
ATOMIC_POSITIONS crystal
Pr 0.092 0.908 0.500
Pr 0.249 0.399 0.239
Pr 0.399 0.249 0.739
Pr 0.601 0.751 0.239
Pr 0.751 0.601 0.739
Pr 0.908 0.092 0.000
Er 0.134 0.505 0.724
Er 0.495 0.866 0.724
Er 0.505 0.134 0.224
Er 0.866 0.495 0.224
Th 0.170 0.830 0.021
Th 0.830 0.170 0.521
```



Arrangement Q

First-principles (PBE-GGA) data for a relaxed structure of Pr3Er2Th, as listed in Alexandria. Values from VASP.

## Properties
D(E_F) = 20.67 states/eV/cell

The structure in Quantum ESPRESSO input format:
```
&SYSTEM
  ibrav = 0, nat = 12, ntyp = 3
/
ATOMIC_SPECIES
Pr 140.91 Pr.upf
Er 167.26 Er.upf
Th 232.04 Th.upf
CELL_PARAMETERS angstrom
11.079 -1.822 0.000
11.079 1.822 0.000
-6.151 0.000 10.070
ATOMIC_POSITIONS crystal
Pr 0.058 0.058 0.424
Pr 0.268 0.268 0.387
Pr 0.387 0.387 0.260
Pr 0.613 0.613 0.740
Pr 0.732 0.732 0.613
Pr 0.942 0.942 0.576
Er 0.056 0.056 0.933
Er 0.281 0.281 0.911
Er 0.719 0.719 0.089
Er 0.944 0.944 0.067
Th 0.392 0.392 0.776
Th 0.608 0.608 0.224
```



The data favor arrangement Q; the next most stable structure lies 172 meV/atom above it.



Arrangement P

First-principles (PBE-GGA) data for a relaxed structure of Pr2Er2Th, as listed in Alexandria. Values from VASP.

## Properties
D(E_F) = 6.52 states/eV/cell

The structure in Quantum ESPRESSO input format:
```
&SYSTEM
  ibrav = 0, nat = 5, ntyp = 3
/
ATOMIC_SPECIES
Pr 140.91 Pr.upf
Er 167.26 Er.upf
Th 232.04 Th.upf
CELL_PARAMETERS angstrom
2.684 -8.648 0.000
2.684 8.648 0.000
0.000 0.000 3.545
ATOMIC_POSITIONS crystal
Pr 0.197 0.803 0.000
Pr 0.803 0.197 0.000
Er 0.399 0.601 0.500
Er 0.601 0.399 0.500
Th 0.000 0.000 0.000
```



Arrangement Q

First-principles (PBE-GGA) data for a relaxed structure of Pr2Er2Th, as listed in Alexandria. Values from VASP.

## Properties
D(E_F) = 5.91 states/eV/cell

The structure in Quantum ESPRESSO input format:
```
&SYSTEM
  ibrav = 0, nat = 5, ntyp = 3
/
ATOMIC_SPECIES
Pr 140.91 Pr.upf
Er 167.26 Er.upf
Th 232.04 Th.upf
CELL_PARAMETERS angstrom
1.806 1.043 14.604
-1.806 1.043 14.604
0.000 -2.085 14.604
ATOMIC_POSITIONS crystal
Pr 0.201 0.201 0.201
Pr 0.799 0.799 0.799
Er 0.397 0.397 0.397
Er 0.603 0.603 0.603
Th 0.000 0.000 0.000
```



The data favor arrangement Q; the next most stable structure lies 44 meV/atom above it.



Arrangement P

First-principles (PBE-GGA) data for a relaxed structure of Pr5Er4Th, as listed in Alexandria. Values from VASP.

## Properties
D(E_F) = 14.39 states/eV/cell

The structure in Quantum ESPRESSO input format:
```
&SYSTEM
  ibrav = 0, nat = 10, ntyp = 3
/
ATOMIC_SPECIES
Pr 140.91 Pr.upf
Er 167.26 Er.upf
Th 232.04 Th.upf
CELL_PARAMETERS angstrom
8.614 -1.781 0.000
8.614 1.781 0.000
-3.692 0.000 10.969
ATOMIC_POSITIONS crystal
Pr 0.000 0.000 0.000
Pr 0.298 0.298 0.390
Pr 0.310 0.310 0.918
Pr 0.690 0.690 0.082
Pr 0.702 0.702 0.610
Er 0.105 0.105 0.797
Er 0.420 0.420 0.704
Er 0.580 0.580 0.296
Er 0.895 0.895 0.203
Th 0.000 0.000 0.500
```



Arrangement Q

First-principles (PBE-GGA) data for a relaxed structure of Pr5Er4Th, as listed in Alexandria. Values from VASP.

## Properties
D(E_F) = 14.37 states/eV/cell

The structure in Quantum ESPRESSO input format:
```
&SYSTEM
  ibrav = 0, nat = 10, ntyp = 3
/
ATOMIC_SPECIES
Pr 140.91 Pr.upf
Er 167.26 Er.upf
Th 232.04 Th.upf
CELL_PARAMETERS angstrom
9.175 -1.793 0.000
9.175 1.793 0.000
-1.241 0.000 10.580
ATOMIC_POSITIONS crystal
Pr 0.000 0.000 0.000
Pr 0.310 0.310 0.900
Pr 0.362 0.362 0.281
Pr 0.638 0.638 0.719
Pr 0.690 0.690 0.100
Er 0.180 0.180 0.417
Er 0.453 0.453 0.737
Er 0.547 0.547 0.263
Er 0.820 0.820 0.583
Th 0.000 0.000 0.500
```



The data favor arrangement P; the next most stable structure lies 97 meV/atom above it.



Arrangement P

First-principles (PBE-GGA) data for a relaxed structure of PrEr2Th2, as listed in Alexandria. Values from VASP.

## Properties
D(E_F) = 6.31 states/eV/cell

The structure in Quantum ESPRESSO input format:
```
&SYSTEM
  ibrav = 0, nat = 5, ntyp = 3
/
ATOMIC_SPECIES
Pr 140.91 Pr.upf
Er 167.26 Er.upf
Th 232.04 Th.upf
CELL_PARAMETERS angstrom
1.793 1.035 14.506
-1.793 1.035 14.506
0.000 -2.070 14.506
ATOMIC_POSITIONS crystal
Pr 0.000 0.000 0.000
Er 0.402 0.402 0.402
Er 0.598 0.598 0.598
Th 0.199 0.199 0.199
Th 0.801 0.801 0.801
```



Arrangement Q

First-principles (PBE-GGA) data for a relaxed structure of PrEr2Th2, as listed in Alexandria. Values from VASP.

## Properties
D(E_F) = 6.47 states/eV/cell

The structure in Quantum ESPRESSO input format:
```
&SYSTEM
  ibrav = 0, nat = 5, ntyp = 3
/
ATOMIC_SPECIES
Pr 140.91 Pr.upf
Er 167.26 Er.upf
Th 232.04 Th.upf
CELL_PARAMETERS angstrom
3.572 0.000 0.000
-1.786 3.094 0.000
0.000 0.000 14.641
ATOMIC_POSITIONS crystal
Pr 0.000 0.000 0.000
Er 0.333 0.667 0.799
Er 0.667 0.333 0.201
Th 0.333 0.667 0.401
Th 0.667 0.333 0.599
```



The data favor arrangement P; the next most stable structure lies 17 meV/atom above it.



Arrangement P

First-principles (PBE-GGA) data for a relaxed structure of Pr12Er7Th, as listed in Alexandria. Values from VASP.

## Properties
D(E_F) = 33.74 states/eV/cell

The structure in Quantum ESPRESSO input format:
```
&SYSTEM
  ibrav = 0, nat = 20, ntyp = 3
/
ATOMIC_SPECIES
Pr 140.91 Pr.upf
Er 167.26 Er.upf
Th 232.04 Th.upf
CELL_PARAMETERS angstrom
9.896 5.713 2.095
-9.896 5.713 2.095
0.000 -11.427 2.095
ATOMIC_POSITIONS crystal
Pr 0.002 0.413 0.590
Pr 0.099 0.100 0.453
Pr 0.100 0.453 0.099
Pr 0.410 0.998 0.587
Pr 0.413 0.590 0.002
Pr 0.453 0.099 0.100
Pr 0.547 0.901 0.900
Pr 0.587 0.410 0.998
Pr 0.590 0.002 0.413
Pr 0.900 0.547 0.901
Pr 0.901 0.900 0.547
Pr 0.998 0.587 0.410
Er 0.000 0.000 0.000
Er 0.111 0.357 0.356
Er 0.356 0.111 0.357
Er 0.357 0.356 0.111
Er 0.643 0.644 0.889
Er 0.644 0.889 0.643
Er 0.889 0.643 0.644
Th 0.500 0.500 0.500
```



Arrangement Q

First-principles (PBE-GGA) data for a relaxed structure of Pr12Er7Th, as listed in Alexandria. Values from VASP.

## Properties
D(E_F) = 35.99 states/eV/cell

The structure in Quantum ESPRESSO input format:
```
&SYSTEM
  ibrav = 0, nat = 20, ntyp = 3
/
ATOMIC_SPECIES
Pr 140.91 Pr.upf
Er 167.26 Er.upf
Th 232.04 Th.upf
CELL_PARAMETERS angstrom
6.241 3.603 5.106
-6.241 3.603 5.106
0.000 -7.206 5.106
ATOMIC_POSITIONS crystal
Pr 0.002 0.879 0.354
Pr 0.121 0.646 0.998
Pr 0.227 0.768 0.629
Pr 0.232 0.371 0.773
Pr 0.354 0.002 0.879
Pr 0.371 0.773 0.232
Pr 0.629 0.227 0.768
Pr 0.646 0.998 0.121
Pr 0.768 0.629 0.227
Pr 0.773 0.232 0.371
Pr 0.879 0.354 0.002
Pr 0.998 0.121 0.646
Er 0.000 0.000 0.000
Er 0.123 0.441 0.352
Er 0.352 0.123 0.441
Er 0.441 0.352 0.123
Er 0.559 0.648 0.877
Er 0.648 0.877 0.559
Er 0.877 0.559 0.648
Th 0.500 0.500 0.500
```



The data favor arrangement Q; the next most stable structure lies 46 meV/atom above it.



Arrangement P

First-principles (PBE-GGA) data for a relaxed structure of Pr2Er12Th5, as listed in Alexandria. Values from VASP.

## Properties
D(E_F) = 29.57 states/eV/cell

The structure in Quantum ESPRESSO input format:
```
&SYSTEM
  ibrav = 0, nat = 19, ntyp = 3
/
ATOMIC_SPECIES
Pr 140.91 Pr.upf
Er 167.26 Er.upf
Th 232.04 Th.upf
CELL_PARAMETERS angstrom
9.279 -3.518 0.000
9.279 3.518 0.000
-3.981 0.000 9.399
ATOMIC_POSITIONS crystal
Pr 0.214 0.786 0.000
Pr 0.786 0.214 0.000
Er 0.000 0.000 0.330
Er 0.000 0.000 0.670
Er 0.084 0.585 0.484
Er 0.096 0.588 0.136
Er 0.412 0.904 0.864
Er 0.415 0.916 0.516
Er 0.471 0.471 0.761
Er 0.529 0.529 0.239
Er 0.585 0.084 0.484
Er 0.588 0.096 0.136
Er 0.904 0.412 0.864
Er 0.916 0.415 0.516
Th 0.182 0.182 0.212
Th 0.311 0.311 0.817
Th 0.500 0.500 0.500
Th 0.689 0.689 0.183
Th 0.818 0.818 0.788
```



Arrangement Q

First-principles (PBE-GGA) data for a relaxed structure of Pr2Er12Th5, as listed in Alexandria. Values from VASP.

## Properties
D(E_F) = 28.44 states/eV/cell

The structure in Quantum ESPRESSO input format:
```
&SYSTEM
  ibrav = 0, nat = 19, ntyp = 3
/
ATOMIC_SPECIES
Pr 140.91 Pr.upf
Er 167.26 Er.upf
Th 232.04 Th.upf
CELL_PARAMETERS angstrom
6.012 0.000 0.000
0.162 9.803 0.000
1.267 3.755 10.333
ATOMIC_POSITIONS crystal
Pr 0.207 0.429 0.085
Pr 0.793 0.571 0.915
Er 0.051 0.174 0.399
Er 0.082 0.822 0.018
Er 0.117 0.094 0.713
Er 0.343 0.689 0.774
Er 0.449 0.316 0.841
Er 0.465 0.676 0.470
Er 0.535 0.324 0.530
Er 0.551 0.684 0.159
Er 0.657 0.311 0.226
Er 0.883 0.906 0.287
Er 0.918 0.178 0.982
Er 0.949 0.826 0.601
Th 0.019 0.540 0.345
Th 0.397 0.030 0.152
Th 0.500 0.000 0.500
Th 0.603 0.970 0.848
Th 0.981 0.460 0.655
```



The data favor arrangement Q; the next most stable structure lies 69 meV/atom above it.